Sm2MgCu2 | SCAN | PBEsol geometry

POSCAR file:
```
Sm2MgCu2
1.0
7.659 0.000 0.000
0.000 7.659 0.000
0.000 0.000 3.666
Sm Mg Cu
4 2 4
Cartesian
1.302 2.528 0.000
2.528 6.357 0.000
5.131 1.302 0.000
6.357 5.131 0.000
0.000 0.000 1.833
3.830 3.830 1.833
0.931 4.760 1.833
2.899 0.931 1.833
4.760 6.729 1.833
6.729 2.899 1.833
```

Computed properties:
Density of states at the Fermi level (states/eV per atom): 0.8104
VASP energy (eV/f.u.): -125.497
Space-group type: P4/mbm


Na2YBr2 | SCAN | PBEsol geometry

POSCAR file:
```
Na2YBr2
1.0
-1.898 1.898 9.152
1.898 -1.898 9.152
1.898 1.898 -9.152
Na Y Br
2 1 2
Cartesian
1.898 0.000 4.576
0.000 1.898 4.576
0.000 0.000 0.000
0.000 0.000 7.554
0.000 0.000 10.750
```

Computed properties:
Density of states at the Fermi level (states/eV per atom): 0.4667
VASP energy (eV/f.u.): -78.580
Space-group type: I4/mmm


MgCd2P | SCAN | PBEsol geometry

POSCAR file:
```
MgCd2P
1.0
0.000 3.423 3.423
3.423 0.000 3.423
3.423 3.423 0.000
Mg Cd P
1 2 1
Cartesian
0.000 0.000 0.000
1.711 1.711 1.711
5.134 5.134 5.134
3.423 3.423 3.423
```

Computed properties:
Density of states at the Fermi level (states/eV per atom): 0.5821
VASP energy (eV/f.u.): -75.145
Space-group type: Fm-3m


The lowest VASP energy belongs to which entry?
Sm2MgCu2